[1]
Below is AcAlAgAs after structural relaxation, with properties calculated at the PBE level.

Lattice parameters (Å, degrees): 5.214 5.214 5.214 60.00 60.00 60.00
Atoms (fractional coordinates):
Ac: 0.000 0.000 0.000
Al: 0.500 0.500 0.500
Ag: 0.750 0.750 0.750
As: 0.250 0.250 0.250

## Properties
**Symmetry**: F-43m (216)
**Calculated total energy**: -4.11 eV/atom
**Energy of formation from the pure elements**: -0.271 eV/atom


[2]
Below is Ac2Al4AgAu3 after structural relaxation, with properties calculated at the PBE level.

Lattice parameters (Å, degrees): 4.566 4.566 10.643 90.00 90.00 90.00
Atoms (fractional coordinates):
Ac: 0.000 0.500 0.249
Ac: 0.500 0.000 0.751
Al: 0.000 0.000 0.500
Al: 0.000 0.500 0.870
Al: 0.500 0.000 0.130
Al: 0.500 0.500 0.500
Ag: 0.500 0.500 0.000
Au: 0.000 0.000 0.000
Au: 0.000 0.500 0.627
Au: 0.500 0.000 0.373

## Properties
**Symmetry**: P-4m2 (115)
**Calculated total energy**: -4.24 eV/atom
**Energy of formation from the pure elements**: -0.650 eV/atom


> Number 2 is which compound?

Ac2Al4AgAu3


> The highest energy of formation from the pure elements belongs to which entry?

AcAlAgAs


> What is the formula in the second record?

Ac2Al4AgAu3


> energy of formation from the pure elements of number 2 (Ac2Al4AgAu3)?

-0.650 eV/atom